An optimized crystal structure of MoW2Br, computed with PBE.

a = 6.452 Å, b = 6.452 Å, c = 6.452 Å
α = 90.00°, β = 90.00°, γ = 90.00°
Atoms (fractional coordinates):
Mo  0.000  0.000  0.000
Mo  0.000  0.500  0.500
Mo  0.500  0.000  0.500
Mo  0.500  0.500  0.000
W  0.000  0.000  0.500
W  0.000  0.500  0.000
W  0.250  0.250  0.750
W  0.250  0.750  0.250
W  0.500  0.000  0.000
W  0.500  0.500  0.500
W  0.750  0.250  0.250
W  0.750  0.750  0.750
Br  0.250  0.250  0.250
Br  0.250  0.750  0.750
Br  0.750  0.250  0.750
Br  0.750  0.750  0.250

Output
Its space group is F-43m (216). The total energy is -33.74 eV/f.u. The total magnetization is 0.00 Bohr magnetons per cell.